[1]
The following is a DFT calculation (PBE) of a relaxed structure of NdTiBe.

Structure (POSCAR):
```
NdTiBe
1.0
4.3279 0.0000 0.0000
0.0000 4.3279 0.0000
0.0000 0.0000 6.5207
Nd Ti Be
2 2 2
direct
0.2500 0.2500 0.1421
0.7500 0.7500 0.8579
0.2500 0.7500 0.5000
0.7500 0.2500 0.5000
0.2500 0.2500 0.6934
0.7500 0.7500 0.3066
```

Properties
Space-group type = P4/nmm (129)



[2]
The following is a DFT calculation (PBE) of a relaxed structure of Nd2BeTl.

Structure (POSCAR):
```
Nd2BeTl
1.0
3.6593 0.0000 0.0000
0.0000 3.6593 0.0000
0.0000 0.0000 7.7568
Nd Be Tl
2 1 1
direct
0.0000 0.0000 0.2164
0.0000 0.0000 0.7836
0.5000 0.5000 0.0000
0.5000 0.5000 0.5000
```

Properties
Space-group type = P4/mmm (123)



[3]
The following is a DFT calculation (PBE) of a relaxed structure of NdTmBe.

Structure (POSCAR):
```
NdTmBe
1.0
-1.7514 1.7514 6.0465
1.7514 -1.7514 6.0465
1.7514 1.7514 -6.0465
Nd Tm Be
1 1 1
direct
0.0000 0.0000 0.0000
0.2713 0.2713 0.0000
0.6500 0.6500 0.0000
```

Properties
Space-group type = I4mm (107)



[4]
The following is a DFT calculation (PBE) of a relaxed structure of Nd2TmBe.

Structure (POSCAR):
```
Nd2TmBe
1.0
3.5796 0.0000 0.0000
0.0000 3.5796 0.0000
0.0000 0.0000 8.5594
Nd Tm Be
2 1 1
direct
0.0000 0.0000 0.1998
0.0000 0.0000 0.8002
0.5000 0.5000 0.5000
0.5000 0.5000 0.0000
```

Properties
Energy above the lowest structure with this stoichiometry = 0.000 eV per atom
Space-group type = P4/mmm (123)



[5]
The following is a DFT calculation (PBE) of a relaxed structure of Nd2TmBe.

Structure (POSCAR):
```
Nd2TmBe
1.0
1.7346 1.0014 11.6104
-1.7346 1.0014 11.6104
0.0000 -2.0029 11.6104
Nd Tm Be
2 1 1
direct
0.0847 0.0847 0.0847
0.9153 0.9153 0.9153
0.5000 0.5000 0.5000
0.0000 0.0000 0.0000
```

Properties
Energy above the lowest structure with this stoichiometry = 0.550 eV per atom
Space-group type = R-3m (166)



[6]
The following is a DFT calculation (PBE) of a relaxed structure of NdYBe.

Structure (POSCAR):
```
NdYBe
1.0
-1.7701 1.7701 6.1170
1.7701 -1.7701 6.1170
1.7701 1.7701 -6.1170
Nd Y Be
1 1 1
direct
0.0000 0.0000 0.0000
0.2690 0.2690 0.0000
0.6442 0.6442 0.0000
```

Properties
Space-group type = I4mm (107)



[7]
The following is a DFT calculation (PBE) of a relaxed structure of Nd2BeZn.

Structure (POSCAR):
```
Nd2BeZn
1.0
1.7142 0.9897 10.7870
-1.7142 0.9897 10.7870
0.0000 -1.9794 10.7870
Nd Be Zn
2 1 1
direct
0.0933 0.0933 0.0933
0.9067 0.9067 0.9067
0.0000 0.0000 0.0000
0.5000 0.5000 0.5000
```

Properties
Energy above the lowest structure with this stoichiometry = 0.703 eV per atom
Space-group type = R-3m (166)



[8]
The following is a DFT calculation (PBE) of a relaxed structure of NdBeZn.

Structure (POSCAR):
```
NdBeZn
1.0
6.0364 -1.9665 0.0000
6.0364 1.9665 0.0000
-1.9815 0.0000 4.9126
Nd Be Zn
2 2 2
direct
0.1159 0.1159 0.3009
0.8841 0.8841 0.6991
0.2257 0.2257 0.8949
0.7743 0.7743 0.1051
0.4033 0.4033 0.2504
0.5967 0.5967 0.7496
```

Properties
Space-group type = C2/m (12)



| no. | E_form (meV/atom) |
| --- | --- |
| 1 | 90 |
| 2 | -89 |
| 3 | 115 |
| 4 | 129 |
| 5 | 679 |
| 6 | 116 |
| 7 | 645 |
| 8 | -121 |